Computed, not measured: Tb6In3O2 after structural relaxation at the PBE-GGA level of DFT.

Cell lengths 12.916, 12.916, 12.916 Å; angles 158.98, 158.98, 29.89 degrees
Sites, in units of the cell vectors:
Tb1 0.085 0.585 0.500
Tb2 0.196 0.196 0.000
Tb3 0.415 0.915 0.500
Tb4 0.585 0.085 0.500
Tb5 0.804 0.804 0.000
Tb6 0.915 0.415 0.500
In1 0.324 0.324 0.000
In2 0.500 0.500 0.000
In3 0.676 0.676 0.000
O1 0.101 0.101 0.000
O2 0.899 0.899 0.000

## Properties
The calculation puts the energy at -60.0 eV per cell. The formation energy without anion corrections is -1.28 eV per atom. The calculated density comes out at 8.0 g/cm³.

---

Computed, not measured: TbInO3 after structural relaxation at the PBE-GGA level of DFT.

Cell lengths 5.997, 5.997, 5.997 Å; angles 56.96, 56.96, 56.96 degrees
Sites, in units of the cell vectors:
Tb1 0.139 0.139 0.139
Tb2 0.861 0.861 0.861
In1 0.354 0.354 0.354
In2 0.646 0.646 0.646
O1 0.050 0.460 0.737
O2 0.263 0.950 0.540
O3 0.460 0.737 0.050
O4 0.540 0.263 0.950
O5 0.737 0.050 0.460
O6 0.950 0.540 0.263

## Properties
The calculation puts the energy at -69.6 eV per cell. The formation energy without anion corrections is -2.51 eV per atom. The calculated density comes out at 7.5 g/cm³.

---

Question: formation energy without anion corrections of number 2 (TbInO3)?
Answer: -2.51 eV per atom

---

Question: The lowest calculated density belongs to which entry?
Answer: TbInO3

---

What did the second record say?
Computed, not measured: TbInO3 after structural relaxation at the PBE-GGA level of DFT.

Cell lengths 5.997, 5.997, 5.997 Å; angles 56.96, 56.96, 56.96 degrees
Sites, in units of the cell vectors:
Tb1 0.139 0.139 0.139
Tb2 0.861 0.861 0.861
In1 0.354 0.354 0.354
In2 0.646 0.646 0.646
O1 0.050 0.460 0.737
O2 0.263 0.950 0.540
O3 0.460 0.737 0.050
O4 0.540 0.263 0.950
O5 0.737 0.050 0.460
O6 0.950 0.540 0.263

## Properties
The calculation puts the energy at -69.6 eV per cell. The formation energy without anion corrections is -2.51 eV per atom. The calculated density comes out at 7.5 g/cm³.